Entry 1:
# PuTlAg2Cl8 (PBE, relaxed)
# ρ   4.48 g/cm3
# Uncorrected formation energy   -11.6 eV per formula unit
# E_tot   -4.0637 eV/atom
data_PuTlAg2Cl8
_chemical_formula_sum 'Pu2 Tl2 Ag4 Cl16'
_symmetry_space_group_name_H-M 'I -4 m 2'
_symmetry_Int_Tables_number 119
_symmetry_space_group_name_Hall 'I -4 -2'
_cell_length_a 8.778
_cell_length_b 8.778
_cell_length_c 9.126
_cell_angle_alpha 90.00
_cell_angle_beta 90.00
_cell_angle_gamma 90.00
loop_
_atom_site_label
_atom_site_fract_x
_atom_site_fract_y
_atom_site_fract_z
Pu1 0.000 0.000 0.000
Tl1 0.000 0.500 0.250
Ag1 0.000 0.000 0.500
Ag2 0.000 0.500 0.750
Cl1 0.000 0.177 0.279
Cl2 0.000 0.298 0.949


Entry 2:
# Ca2HoB2O6 (PBE, relaxed)
# ρ   4.55 g/cm3
# Uncorrected formation energy   -30.7 eV per formula unit
# E_tot   -7.4933 eV/atom
data_Ca2HoB2O6
_chemical_formula_sum 'Ca4 Ho2 B4 O12'
_symmetry_space_group_name_H-M 'C 1 2/m 1'
_symmetry_Int_Tables_number 12
_symmetry_space_group_name_Hall '-C 2y'
_cell_length_a 9.074
_cell_length_b 5.025
_cell_length_c 6.739
_cell_angle_alpha 90.00
_cell_angle_beta 120.42
_cell_angle_gamma 90.00
loop_
_atom_site_label
_atom_site_fract_x
_atom_site_fract_y
_atom_site_fract_z
Ca1 0.203 0.000 0.167
Ho1 0.000 0.000 0.500
B1 0.045 0.500 0.250
O1 0.046 0.260 0.817
O2 0.221 0.500 0.345


Entry 3:
# Mg2AuSe (PBE, relaxed)
# ρ   6.91 g/cm3
# Uncorrected formation energy   -2.4 eV per formula unit
# E_tot   -3.0837 eV/atom
data_Mg2AuSe
_chemical_formula_sum 'Mg2 Au1 Se1'
_symmetry_space_group_name_H-M 'P 4/m m m'
_symmetry_Int_Tables_number 123
_symmetry_space_group_name_Hall '-P 4 2'
_cell_length_a 4.704
_cell_length_b 4.704
_cell_length_c 3.523
_cell_angle_alpha 90.00
_cell_angle_beta 90.00
_cell_angle_gamma 90.00
loop_
_atom_site_label
_atom_site_fract_x
_atom_site_fract_y
_atom_site_fract_z
Mg1 0.000 0.500 0.000
Au1 0.000 0.000 0.500
Se1 0.500 0.500 0.500


Entry 4:
# Li2AcNd2Sb2 (PBE, relaxed)
# ρ   6.57 g/cm3
# Uncorrected formation energy   -4.3 eV per formula unit
# E_tot   -4.2880 eV/atom
data_Li2AcNd2Sb2
_chemical_formula_sum 'Li6 Ac3 Nd6 Sb6'
_symmetry_space_group_name_H-M 'R -3 m'
_symmetry_Int_Tables_number 166
_symmetry_space_group_name_Hall '-R 3 2"'
_cell_length_a 4.8355
_cell_length_b 4.8355
_cell_length_c 28.9549
_cell_angle_alpha 90.00
_cell_angle_beta 90.00
_cell_angle_gamma 120.00
loop_
_atom_site_label
_atom_site_fract_x
_atom_site_fract_y
_atom_site_fract_z
Li1 0.0000 0.0000 0.0856
Ac1 0.0000 0.0000 0.5000
Nd1 0.0000 0.0000 0.3676
Sb1 0.0000 0.0000 0.2406


Entry 5:
# Ca2CoBiN (PBE, relaxed)
# ρ   5.76 g/cm3
# Uncorrected formation energy   -2.9 eV per formula unit
# E_tot   -5.2358 eV/atom
data_Ca2CoBiN
_chemical_formula_sum 'Ca2 Co1 Bi1 N1'
_symmetry_space_group_name_H-M 'P 4/m m m'
_symmetry_Int_Tables_number 123
_symmetry_space_group_name_Hall '-P 4 2'
_cell_length_a 5.437
_cell_length_b 5.437
_cell_length_c 3.529
_cell_angle_alpha 90.00
_cell_angle_beta 90.00
_cell_angle_gamma 90.00
loop_
_atom_site_label
_atom_site_fract_x
_atom_site_fract_y
_atom_site_fract_z
Ca1 0.000 0.500 0.000
Co1 0.000 0.000 0.500
Bi1 0.500 0.500 0.500
N1 0.000 0.000 0.000


Entry 6:
# BeZnAg2 (PBE, relaxed)
# ρ   7.99 g/cm3
# Formation energy from the elements   0.221 eV/atom
# Offset from the most stable computed form   150 meV/atom
# E_tot   -2.4543 eV/atom
data_BeZnAg2
_chemical_formula_sum 'Be4 Zn4 Ag8'
_symmetry_space_group_name_H-M 'F -4 3 m'
_symmetry_Int_Tables_number 216
_symmetry_space_group_name_Hall 'F -4 2 3'
_cell_length_a 6.226
_cell_length_b 6.226
_cell_length_c 6.226
_cell_angle_alpha 90.00
_cell_angle_beta 90.00
_cell_angle_gamma 90.00
loop_
_atom_site_label
_atom_site_fract_x
_atom_site_fract_y
_atom_site_fract_z
Be1 0.000 0.000 0.000
Zn1 0.250 0.250 0.250
Ag1 0.000 0.000 0.500
Ag2 0.250 0.250 0.750


Entry 7:
# ZrSc3As3 (PBE, relaxed)
# ρ   5.48 g/cm3
# Formation energy from the elements   -1.166 eV/atom
# E_tot   -7.0934 eV/atom
data_ZrSc3As3
_chemical_formula_sum 'Zr4 Sc12 As12'
_symmetry_space_group_name_H-M 'P 21 3'
_symmetry_Int_Tables_number 198
_symmetry_space_group_name_Hall 'P 2ac 2ab 3'
_cell_length_a 8.177
_cell_length_b 8.177
_cell_length_c 8.177
_cell_angle_alpha 90.00
_cell_angle_beta 90.00
_cell_angle_gamma 90.00
loop_
_atom_site_label
_atom_site_fract_x
_atom_site_fract_y
_atom_site_fract_z
Zr1 0.072 0.428 0.572
Sc1 0.069 0.569 0.931
Sc2 0.181 0.819 0.319
Sc3 0.182 0.182 0.182
As1 0.001 0.250 0.874


Entry 8:
# Sm7In2Ir2 (PBE, relaxed)
# ρ   8.24 g/cm3
# Formation energy from the elements   -0.430 eV/atom
# E_tot   -5.5418 eV/atom
data_Sm7In2Ir2
_chemical_formula_sum 'Sm14 In4 Ir4'
_symmetry_space_group_name_H-M 'C m m m'
_symmetry_Int_Tables_number 65
_symmetry_space_group_name_Hall '-C 2 2'
_cell_length_a 8.343
_cell_length_b 11.180
_cell_length_c 7.204
_cell_angle_alpha 90.00
_cell_angle_beta 90.00
_cell_angle_gamma 90.00
loop_
_atom_site_label
_atom_site_fract_x
_atom_site_fract_y
_atom_site_fract_z
Sm1 0.000 0.000 0.000
Sm2 0.000 0.500 0.244
Sm3 0.250 0.250 0.250
In1 0.173 0.000 0.500
Ir1 0.000 0.289 0.000


Entry 9:
# ScBe3In (PBE, relaxed)
# ρ   3.56 g/cm3
# Formation energy from the elements   0.885 eV/atom
# Offset from the most stable computed form   0 meV/atom
# E_tot   -3.1652 eV/atom
data_ScBe3In
_chemical_formula_sum 'Sc1 Be3 In1'
_symmetry_space_group_name_H-M 'P m -3 m'
_symmetry_Int_Tables_number 221
_symmetry_space_group_name_Hall '-P 4 2 3'
_cell_length_a 4.434
_cell_length_b 4.434
_cell_length_c 4.434
_cell_angle_alpha 90.00
_cell_angle_beta 90.00
_cell_angle_gamma 90.00
loop_
_atom_site_label
_atom_site_fract_x
_atom_site_fract_y
_atom_site_fract_z
Sc1 0.000 0.000 0.000
Be1 0.000 0.500 0.500
In1 0.500 0.500 0.500


Entry 10:
# Pr12Tm6Mg (PBE, relaxed)
# ρ   6.93 g/cm3
# Formation energy from the elements   0.118 eV/atom
# E_tot   -4.3969 eV/atom
data_Pr12Tm6Mg
_chemical_formula_sum 'Pr36 Tm18 Mg3'
_symmetry_space_group_name_H-M 'R -3'
_symmetry_Int_Tables_number 148
_symmetry_space_group_name_Hall '-R 3'
_cell_length_a 12.1417
_cell_length_b 12.1417
_cell_length_c 15.3563
_cell_angle_alpha 90.00
_cell_angle_beta 90.00
_cell_angle_gamma 120.00
loop_
_atom_site_label
_atom_site_fract_x
_atom_site_fract_y
_atom_site_fract_z
Pr1 0.0082 0.8295 0.3123
Pr2 0.0473 0.2011 0.9148
Tm1 0.0245 0.5908 0.1921
Mg1 0.0000 0.0000 0.5000


Entry 11:
# BaNaGa2Ni (PBE, relaxed)
# ρ   5.01 g/cm3
# Formation energy from the elements   -0.202 eV/atom
# E_tot   -3.2176 eV/atom
data_BaNaGa2Ni
_chemical_formula_sum 'Ba1 Na1 Ga2 Ni1'
_symmetry_space_group_name_H-M 'P 4/m m m'
_symmetry_Int_Tables_number 123
_symmetry_space_group_name_Hall '-P 4 2'
_cell_length_a 4.737
_cell_length_b 4.737
_cell_length_c 5.294
_cell_angle_alpha 90.00
_cell_angle_beta 90.00
_cell_angle_gamma 90.00
loop_
_atom_site_label
_atom_site_fract_x
_atom_site_fract_y
_atom_site_fract_z
Ba1 0.000 0.000 0.000
Na1 0.500 0.500 0.000
Ga1 0.000 0.500 0.500
Ni1 0.500 0.500 0.500


Entry 12:
# Ac6IrSe2S3 (PBE, relaxed)
# ρ   8.32 g/cm3
# Uncorrected formation energy   -20.7 eV per formula unit
# E_tot   -6.1341 eV/atom
data_Ac6IrSe2S3
_chemical_formula_sum 'Ac12 Ir2 Se4 S6'
_symmetry_space_group_name_H-M 'C 1 2/m 1'
_symmetry_Int_Tables_number 12
_symmetry_space_group_name_Hall '-C 2y'
_cell_length_a 7.680
_cell_length_b 13.248
_cell_length_c 7.534
_cell_angle_alpha 90.00
_cell_angle_beta 109.72
_cell_angle_gamma 90.00
loop_
_atom_site_label
_atom_site_fract_x
_atom_site_fract_y
_atom_site_fract_z
Ac1 0.234 0.000 0.248
Ac2 0.243 0.159 0.752
Ir1 0.000 0.000 0.500
Se1 0.000 0.334 0.500
S1 0.000 0.174 0.000
S2 0.000 0.500 0.000


Entry 13:
# Nb6CrRu5 (PBE, relaxed)
# ρ   9.70 g/cm3
# Formation energy from the elements   -0.185 eV/atom
# E_tot   -9.8872 eV/atom
data_Nb6CrRu5
_chemical_formula_sum 'Nb12 Cr2 Ru10'
_symmetry_space_group_name_H-M 'C m m m'
_symmetry_Int_Tables_number 65
_symmetry_space_group_name_Hall '-C 2 2'
_cell_length_a 4.489
_cell_length_b 13.597
_cell_length_c 6.255
_cell_angle_alpha 90.00
_cell_angle_beta 90.00
_cell_angle_gamma 90.00
loop_
_atom_site_label
_atom_site_fract_x
_atom_site_fract_y
_atom_site_fract_z
Nb1 0.000 0.000 0.243
Nb2 0.000 0.341 0.247
Cr1 0.000 0.500 0.000
Ru1 0.000 0.173 0.000
Ru2 0.000 0.173 0.500
Ru3 0.000 0.500 0.500


Entry 14:
# CsSn2Pb4 (PBE, relaxed)
# ρ   7.91 g/cm3
# Formation energy from the elements   -0.065 eV/atom
# E_tot   -3.4493 eV/atom
data_CsSn2Pb4
_chemical_formula_sum 'Cs2 Sn4 Pb8'
_symmetry_space_group_name_H-M 'C m m m'
_symmetry_Int_Tables_number 65
_symmetry_space_group_name_Hall '-C 2 2'
_cell_length_a 5.190
_cell_length_b 17.853
_cell_length_c 5.431
_cell_angle_alpha 90.00
_cell_angle_beta 90.00
_cell_angle_gamma 90.00
loop_
_atom_site_label
_atom_site_fract_x
_atom_site_fract_y
_atom_site_fract_z
Cs1 0.000 0.000 0.000
Sn1 0.000 0.417 0.500
Pb1 0.000 0.183 0.500
Pb2 0.000 0.312 0.000


Entry 15:
# Na2Ag (PBE, relaxed)
# ρ   3.22 g/cm3
# Formation energy from the elements   0.013 eV/atom
# E_tot   -1.8166 eV/atom
data_Na2Ag
_chemical_formula_sum 'Na8 Ag4'
_symmetry_space_group_name_H-M 'F m m m'
_symmetry_Int_Tables_number 69
_symmetry_space_group_name_Hall '-F 2 2'
_cell_length_a 5.281
_cell_length_b 5.301
_cell_length_c 11.336
_cell_angle_alpha 90.00
_cell_angle_beta 90.00
_cell_angle_gamma 90.00
loop_
_atom_site_label
_atom_site_fract_x
_atom_site_fract_y
_atom_site_fract_z
Na1 0.000 0.000 0.146
Ag1 0.000 0.000 0.500


Entry 16:
# Zn2SnGeW (PBE, relaxed)
# ρ   6.38 g/cm3
# Formation energy from the elements   1.670 eV/atom
# E_tot   -3.1545 eV/atom
data_Zn2SnGeW
_chemical_formula_sum 'Zn2 Sn1 Ge1 W1'
_symmetry_space_group_name_H-M 'P 4/m m m'
_symmetry_Int_Tables_number 123
_symmetry_space_group_name_Hall '-P 4 2'
_cell_length_a 4.892
_cell_length_b 4.892
_cell_length_c 5.502
_cell_angle_alpha 90.00
_cell_angle_beta 90.00
_cell_angle_gamma 90.00
loop_
_atom_site_label
_atom_site_fract_x
_atom_site_fract_y
_atom_site_fract_z
Zn1 0.000 0.500 0.000
Sn1 0.000 0.000 0.000
Ge1 0.000 0.000 0.500
W1 0.500 0.500 0.500


Entry 17:
# CaSnSb3 (PBE, relaxed)
# ρ   4.72 g/cm3
# Offset from the most stable computed form   272 meV/atom
# Uncorrected formation energy   2.8 eV per formula unit
# E_tot   -3.1059 eV/atom
data_CaSnSb3
_chemical_formula_sum 'Ca1 Sn1 Sb3'
_symmetry_space_group_name_H-M 'P m -3 m'
_symmetry_Int_Tables_number 221
_symmetry_space_group_name_Hall '-P 4 2 3'
_cell_length_a 5.690
_cell_length_b 5.690
_cell_length_c 5.690
_cell_angle_alpha 90.00
_cell_angle_beta 90.00
_cell_angle_gamma 90.00
loop_
_atom_site_label
_atom_site_fract_x
_atom_site_fract_y
_atom_site_fract_z
Ca1 0.000 0.000 0.000
Sn1 0.500 0.500 0.500
Sb1 0.000 0.000 0.500


Entry 18:
# Ba2Sc3MnS8 (PBE, relaxed)
# ρ   3.27 g/cm3
# Uncorrected formation energy   -23.0 eV per formula unit
# E_tot   -6.2856 eV/atom
data_Ba2Sc3MnS8
_chemical_formula_sum 'Ba6 Sc9 Mn3 S24'
_symmetry_space_group_name_H-M 'R 3 m'
_symmetry_Int_Tables_number 160
_symmetry_space_group_name_Hall 'R 3 -2"'
_cell_length_a 7.4852
_cell_length_b 7.4852
_cell_length_c 22.6072
_cell_angle_alpha 90.00
_cell_angle_beta 90.00
_cell_angle_gamma 120.00
loop_
_atom_site_label
_atom_site_fract_x
_atom_site_fract_y
_atom_site_fract_z
Ba1 0.0000 0.0000 0.0000
Ba2 0.0000 0.0000 0.3437
Sc1 0.0125 0.5062 0.4963
Mn1 0.0000 0.0000 0.5070
S1 0.0000 0.0000 0.2163
S2 0.0000 0.0000 0.7655
S3 0.0066 0.5033 0.2295
S4 0.1704 0.3409 0.1029


Entry 19:
# Ba2CdGaH (PBE, relaxed)
# ρ   5.31 g/cm3
# Offset from the most stable computed form   12 meV/atom
# E_tot   -2.4950 eV/atom
data_Ba2CdGaH
_chemical_formula_sum 'Ba2 Cd1 Ga1 H1'
_symmetry_space_group_name_H-M 'P 4/m m m'
_symmetry_Int_Tables_number 123
_symmetry_space_group_name_Hall '-P 4 2'
_cell_length_a 5.620
_cell_length_b 5.620
_cell_length_c 4.532
_cell_angle_alpha 90.00
_cell_angle_beta 90.00
_cell_angle_gamma 90.00
loop_
_atom_site_label
_atom_site_fract_x
_atom_site_fract_y
_atom_site_fract_z
Ba1 0.000 0.500 0.000
Cd1 0.000 0.000 0.500
Ga1 0.500 0.500 0.500
H1 0.000 0.000 0.000


Entry 20:
# KTe2Au (PBE, relaxed)
# ρ   7.10 g/cm3
# Uncorrected formation energy   -1.2 eV per formula unit
# E_tot   -2.9703 eV/atom
data_KTe2Au
_chemical_formula_sum 'K1 Te2 Au1'
_symmetry_space_group_name_H-M 'P m m 2'
_symmetry_Int_Tables_number 25
_symmetry_space_group_name_Hall 'P 2 -2'
_cell_length_a 3.316
_cell_length_b 5.808
_cell_length_c 5.968
_cell_angle_alpha 90.00
_cell_angle_beta 90.00
_cell_angle_gamma 90.00
loop_
_atom_site_label
_atom_site_fract_x
_atom_site_fract_y
_atom_site_fract_z
K1 0.000 0.000 0.000
Te1 0.500 0.000 0.492
Te2 0.500 0.500 0.914
Au1 0.500 0.500 0.413